A relaxed structure of BaMg4Tl. Source: the Alexandria database, functional PBEsol.

Cell and atoms, written as POSCAR:
```
BaMg4Tl
1.0
-1.7762 -4.0939 -4.3478
4.2398 -2.5818 -3.7651
1.4550 -6.0267 0.6162
Mg Ba Tl
4 1 1
direct
0.3755 0.3755 0.3755
0.3755 0.8734 0.3755
0.8734 0.3755 0.3755
0.3755 0.3755 0.8734
0.0000 0.0000 0.0000
0.7500 0.7500 0.7500
```

Summary:
* E_form: -0.2 eV per formula unit
* calculated total energy: -1.982 eV per atom